This record from Alexandria via LeMat-Bulk describes HfZn2In2 after structural relaxation. The functional is PBE-GGA.

Cell: 7.011 7.011 7.011 Å, 146.81 146.81 47.65°
Fractional positions:
Hf (0.000, 0.000, 0.000)
Zn (0.250, 0.750, 0.500)
Zn (0.750, 0.250, 0.500)
In (0.393, 0.393, 0.000)
In (0.607, 0.607, 0.000)

Values from the calculation:
total magnetization	0.0	μB per cell
ΔE_f	0.23	eV/atom
polymorph energy (0 for the lowest one)	186	meV/atom


This record from Alexandria via LeMat-Bulk describes Hf5Zn3In12 after structural relaxation. The functional is PBE-GGA.

Cell: 14.439 14.439 14.439 Å, 109.47 109.47 109.47°
Fractional positions:
Hf (0.000, 0.000, 0.000)
Hf (0.000, 0.000, 0.500)
Hf (0.000, 0.500, 0.000)
Hf (0.000, 0.500, 0.500)
Hf (0.125, 0.750, 0.875)
Hf (0.125, 0.875, 0.250)
Hf (0.250, 0.125, 0.875)
Hf (0.250, 0.625, 0.375)
Hf (0.375, 0.250, 0.625)
Hf (0.375, 0.625, 0.750)
Hf (0.500, 0.000, 0.000)
Hf (0.500, 0.000, 0.500)
Hf (0.500, 0.500, 0.000)
Hf (0.500, 0.500, 0.500)
Hf (0.625, 0.375, 0.250)
Hf (0.625, 0.750, 0.375)
Hf (0.750, 0.375, 0.625)
Hf (0.750, 0.875, 0.125)
Hf (0.875, 0.125, 0.750)
Hf (0.875, 0.250, 0.125)
Zn (0.125, 0.250, 0.375)
Zn (0.125, 0.375, 0.750)
Zn (0.250, 0.375, 0.125)
Zn (0.250, 0.875, 0.625)
Zn (0.375, 0.125, 0.250)
Zn (0.375, 0.750, 0.125)
Zn (0.625, 0.250, 0.875)
Zn (0.625, 0.875, 0.750)
Zn (0.750, 0.125, 0.375)
Zn (0.750, 0.625, 0.875)
Zn (0.875, 0.625, 0.250)
Zn (0.875, 0.750, 0.625)
In (0.059, 0.631, 0.394)
In (0.059, 0.927, 0.665)
In (0.073, 0.238, 0.131)
In (0.073, 0.335, 0.941)
In (0.106, 0.738, 0.665)
In (0.106, 0.869, 0.441)
In (0.131, 0.073, 0.238)
In (0.131, 0.559, 0.894)
In (0.165, 0.238, 0.606)
In (0.165, 0.427, 0.559)
In (0.238, 0.131, 0.073)
In (0.238, 0.606, 0.165)
In (0.262, 0.335, 0.894)
In (0.262, 0.427, 0.369)
In (0.335, 0.894, 0.262)
In (0.335, 0.941, 0.073)
In (0.369, 0.262, 0.427)
In (0.369, 0.606, 0.941)
In (0.394, 0.059, 0.631)
In (0.394, 0.835, 0.762)
In (0.427, 0.369, 0.262)
In (0.427, 0.559, 0.165)
In (0.441, 0.106, 0.869)
In (0.441, 0.835, 0.573)
In (0.559, 0.165, 0.427)
In (0.559, 0.894, 0.131)
In (0.573, 0.441, 0.835)
In (0.573, 0.631, 0.738)
In (0.606, 0.165, 0.238)
In (0.606, 0.941, 0.369)
In (0.631, 0.394, 0.059)
In (0.631, 0.738, 0.573)
In (0.665, 0.059, 0.927)
In (0.665, 0.106, 0.738)
In (0.738, 0.573, 0.631)
In (0.738, 0.665, 0.106)
In (0.762, 0.394, 0.835)
In (0.762, 0.869, 0.927)
In (0.835, 0.573, 0.441)
In (0.835, 0.762, 0.394)
In (0.869, 0.441, 0.106)
In (0.869, 0.927, 0.762)
In (0.894, 0.131, 0.559)
In (0.894, 0.262, 0.335)
In (0.927, 0.665, 0.059)
In (0.927, 0.762, 0.869)
In (0.941, 0.073, 0.335)
In (0.941, 0.369, 0.606)

Values from the calculation:
total magnetization	0.0	μB per cell
ΔE_f	0.61	eV/atom